(1)
NaNbTcSb: optimized geometry, GGA-PBE.

Output
Polymorph energy (0 for the lowest one) in eV/atom: 0.000
Density in g/cm³: 7.98
Space group: F-43m (216)

Cell lengths 4.6224, 4.6224, 4.6224 Å; angles 60.00, 60.00, 60.00 degrees
Last column: nearest neighbours and their distance in Å.
Element x y z (fractional)
Na  0.7500  0.7500  0.7500  4 Nb 2.83, 4 Sb 2.83
Nb  0.5000  0.5000  0.5000  4 Na 2.83, 4 Tc 2.83
Sb  0.0000  0.0000  0.0000  4 Tc 2.83, 4 Na 2.83
Tc  0.2500  0.2500  0.2500  4 Nb 2.83, 4 Sb 2.83


(2)
AgOsCl6: optimized geometry, GGA-PBE.

Output
Polymorph energy (0 for the lowest one) in eV/atom: 0.000
Density in g/cm³: 4.35
Space group: R-3 (148)

Cell lengths 6.2800, 6.2800, 6.7654 Å; angles 90.00, 117.65, 119.99 degrees
Last column: nearest neighbours and their distance in Å.
Element x y z (fractional)
Ag  0.0000  0.5000  0.5000  6 Cl 2.73
Cl  0.4509  0.3877  0.2331  1 Os 2.32
Cl  0.1698  0.7822  0.2331  1 Os 2.32
Cl  0.8454  0.0633  0.2331  1 Os 2.32
Cl  0.1546  0.9367  0.7669  1 Os 2.32
Cl  0.8302  0.2178  0.7669  1 Os 2.32
Cl  0.5491  0.6123  0.7669  1 Os 2.32
Os  0.0000  0.0000  0.0000  6 Cl 2.32


(3)
MgFeAuSe3: optimized geometry, GGA-PBE.

Output
Density in g/cm³: 6.83
Space group: Cmcm (63)

Cell lengths 6.9264, 6.9264, 10.3265 Å; angles 90.00, 90.00, 149.72 degrees
Last column: nearest neighbours and their distance in Å.
Element x y z (fractional)
Au  0.8419  0.1581  0.2500  2 Se 2.48
Au  0.1581  0.8419  0.7500  2 Se 2.48
Fe  0.5000  0.5000  0.0000  6 Se 2.50-2.64
Fe  0.5000  0.5000  0.5000  6 Se 2.50-2.64
Mg  0.1844  0.8156  0.2500  4 Se 2.62-2.82, 2 Au 2.78
Mg  0.8156  0.1844  0.7500  4 Se 2.62-2.82, 2 Au 2.78
Se  0.8717  0.1283  0.0132  1 Au 2.48, 2 Fe 2.50
Se  0.5423  0.4577  0.2500  2 Mg 2.62, 2 Fe 2.64
Se  0.8717  0.1283  0.4868  1 Au 2.48, 2 Fe 2.50
Se  0.1283  0.8717  0.5132  1 Au 2.48, 2 Fe 2.50
Se  0.4577  0.5423  0.7500  2 Mg 2.62, 2 Fe 2.64
Se  0.1283  0.8717  0.9868  1 Au 2.48, 2 Fe 2.50


(4)
PrH4Ir: optimized geometry, GGA-PBE.

Output
Density in g/cm³: 8.81
Space group: C2/c (15)

Cell lengths 4.6144, 4.6144, 7.3115 Å; angles 105.30, 105.30, 58.92 degrees
Last column: nearest neighbours and their distance in Å.
Element x y z (fractional)
H  0.6691  0.2659  0.0830  1 Ir 1.68
H  0.1440  0.2701  0.1020  1 Ir 1.69
H  0.7299  0.8560  0.3980  1 Ir 1.69
H  0.7341  0.3309  0.4170  1 Ir 1.68
H  0.2659  0.6691  0.5830  1 Ir 1.68
H  0.2701  0.1440  0.6020  1 Ir 1.69
H  0.8560  0.7299  0.8980  1 Ir 1.69
H  0.3309  0.7341  0.9170  1 Ir 1.68
Ir  0.5000  0.0000  0.0000  4 H 1.68-1.69
Ir  0.0000  0.5000  0.5000  4 H 1.68-1.69
Pr  0.2122  0.7878  0.2500  12 H 2.49-2.69
Pr  0.7878  0.2122  0.7500  12 H 2.49-2.69


(5)
LiTbHg3Se4: optimized geometry, GGA-PBE.

Output
Polymorph energy (0 for the lowest one) in eV/atom: 0.000
Density in g/cm³: 6.67
Space group: P2_1/m (11)

Cell lengths 7.4492, 7.7184, 9.8979 Å; angles 90.00, 108.51, 90.00 degrees
Last column: nearest neighbours and their distance in Å.
Element x y z (fractional)
Hg  0.7751  0.7500  0.1645  3 Se 2.53-2.71
Hg  0.7741  0.5705  0.4689  1 Hg 2.77, 2 Se 2.78-2.88
Hg  0.7741  0.9295  0.4689  1 Hg 2.77, 2 Se 2.78-2.88
Hg  0.2259  0.0705  0.5311  1 Hg 2.77, 2 Se 2.78-2.88
Hg  0.2259  0.4295  0.5311  1 Hg 2.77, 2 Se 2.78-2.88
Hg  0.2249  0.2500  0.8355  3 Se 2.53-2.71
Li  0.7465  0.2500  0.1955  4 Se 2.52-2.64
Li  0.2535  0.7500  0.8045  4 Se 2.52-2.64
Se  0.4169  0.7500  0.0699  1 Li 2.52, 1 Hg 2.53, 1 Tb 2.75
Se  0.0184  0.0205  0.2339  1 Li 2.63, 2 Hg 2.71-2.88, 1 Tb 2.73
Se  0.0184  0.4795  0.2339  1 Li 2.63, 2 Hg 2.71-2.88, 1 Tb 2.73
Se  0.5980  0.2500  0.4053  1 Li 2.64, 2 Hg 2.78, 1 Tb 2.86
Se  0.4020  0.7500  0.5947  1 Li 2.64, 2 Hg 2.78, 1 Tb 2.86
Se  0.9816  0.5205  0.7661  1 Li 2.63, 2 Hg 2.71-2.88, 1 Tb 2.73
Se  0.9816  0.9795  0.7661  1 Li 2.63, 2 Hg 2.71-2.88, 1 Tb 2.73
Se  0.5831  0.2500  0.9301  1 Li 2.52, 1 Hg 2.53, 1 Tb 2.75
Tb  0.2666  0.7500  0.2899  4 Se 2.73-2.86
Tb  0.7334  0.2500  0.7101  4 Se 2.73-2.86


(6)
Pm4ZnBr5: optimized geometry, GGA-PBE.

Output
Density in g/cm³: 5.36
Space group: C2/m (12)

Cell lengths 9.5273, 9.5273, 8.8268 Å; angles 102.43, 102.43, 24.45 degrees
Last column: nearest neighbours and their distance in Å.
Element x y z (fractional)
Br  0.8281  0.8281  0.1666  4 Pm 3.03-3.14
Br  0.1668  0.1668  0.3320  3 Pm 2.97-3.03
Br  0.5000  0.5000  0.5000  4 Pm 3.10
Br  0.8332  0.8332  0.6680  3 Pm 2.97-3.03
Br  0.1719  0.1719  0.8334  4 Pm 3.03-3.14
Pm  0.6553  0.6553  0.0802  1 Zn 2.82, 5 Br 2.97-3.14
Pm  0.0005  0.0005  0.2336  2 Zn 2.88, 4 Br 3.03-3.13
Pm  0.9995  0.9995  0.7664  2 Zn 2.88, 4 Br 3.03-3.13
Pm  0.3447  0.3447  0.9198  1 Zn 2.82, 5 Br 2.97-3.14
Zn  0.5000  0.5000  0.0000  6 Pm 2.82-2.88


no.,energy (Ry per atom)
1,-0.468
2,-0.261
3,-0.314
4,-0.367
5,-0.222
6,-0.309